## i
This record from Alexandria via LeMat-Bulk describes a relaxed TlPAu2 crystal. The functional is PBE.

Lattice parameters (Å, degrees): 3.4750 3.6076 7.4282 90.00 90.00 90.00
Element x y z (fractional)
Au1 0.5000 0.5000 0.3868
Tl1 0.5000 0.5000 0.7817
P1 0.0000 0.0000 0.3255
Au2 0.0000 0.0000 0.0061

Fermi-level density of states: 0.24 states/eV/atom
Crystal system: orthorhombic
Density: 11.22 g/cm³
V: 93.12 Å³/cell

## ii
This record from Alexandria via LeMat-Bulk describes a relaxed TlPAu2 crystal. The functional is PBE.

Lattice parameters (Å, degrees): 5.1430 5.1430 3.0741 90.00 90.00 94.17
Element x y z (fractional)
Au1 0.0000 0.0000 0.0000
P1 0.5000 0.0000 0.5000
Au2 0.5000 0.5000 0.0000
Tl1 0.0000 0.5000 0.5000

Fermi-level density of states: 0.42 states/eV/atom
Crystal system: orthorhombic
Density: 12.89 g/cm³
V: 81.10 Å³/cell

The most stable arrangement is i, and the next structure is 26.0 kJ/mol of atoms less stable.

## i
This record from Alexandria via LeMat-Bulk describes a relaxed V2P2Au crystal. The functional is PBE.

Lattice parameters (Å, degrees): 6.8354 6.8354 2.9959 90.00 90.00 90.00
Element x y z (fractional)
P1 0.3556 0.8556 0.0000
Au1 0.0000 0.0000 0.0000
V1 0.8595 0.3595 0.5000
P2 0.6444 0.1444 0.0000
Au2 0.5000 0.5000 0.0000
V2 0.1405 0.6405 0.5000
V3 0.6405 0.8595 0.5000
P3 0.8556 0.6444 0.0000
P4 0.1444 0.3556 0.0000
V4 0.3595 0.1405 0.5000

Fermi-level density of states: 0.63 states/eV/atom
Crystal system: tetragonal
Density: 8.56 g/cm³
V: 139.98 Å³/cell

## ii
This record from Alexandria via LeMat-Bulk describes a relaxed V2P2Au crystal. The functional is PBE.

Lattice parameters (Å, degrees): 6.8756 6.8756 3.0629 90.00 90.00 90.00
Element x y z (fractional)
V1 0.1367 0.3633 0.0000
V2 0.3633 0.8633 0.0000
V3 0.6367 0.1367 0.0000
Au1 0.0000 0.0000 0.0000
P1 0.3540 0.1460 0.5000
V4 0.8633 0.6367 0.0000
P2 0.1460 0.6460 0.5000
P3 0.8540 0.3540 0.5000
P4 0.6460 0.8540 0.5000
Au2 0.5000 0.5000 0.0000

Fermi-level density of states: 0.78 states/eV/atom
Crystal system: tetragonal
Density: 8.28 g/cm³
V: 144.79 Å³/cell

The most stable arrangement is i, and the next structure is 2.7 kJ/mol of atoms less stable.

## i
This record from Alexandria via LeMat-Bulk describes a relaxed VP2Au crystal. The functional is PBE.

Lattice parameters (Å, degrees): 4.4043 4.4043 4.4043 60.00 60.00 60.00
Last column: magnetic moment on the atom in μB.
Element x y z (fractional)
Au1 0.5000 0.5000 0.5000  0.02
P1 0.7500 0.7500 0.7500  -0.04
P2 0.2500 0.2500 0.2500  -0.04
V1 0.0000 0.0000 0.0000  1.12

Fermi-level density of states: 1.37 states/eV/atom
Crystal system: cubic
Density: 8.52 g/cm³
V: 60.41 Å³/cell

## ii
This record from Alexandria via LeMat-Bulk describes a relaxed VP2Au crystal. The functional is PBE.

Lattice parameters (Å, degrees): 4.2309 4.2309 5.9010 68.99 68.99 60.00
Last column: magnetic moment on the atom in μB.
Element x y z (fractional)
Au1 0.0000 0.0000 0.0000  0.02
P1 0.8551 0.8551 0.4347  -0.05
P2 0.1449 0.1449 0.5653  -0.05
V1 0.5000 0.5000 0.5000  1.44

Fermi-level density of states: 0.83 states/eV/atom
Crystal system: trigonal
Density: 6.18 g/cm³
V: 83.27 Å³/cell

The most stable arrangement is ii, and the next structure is 9.7 kJ/mol of atoms less stable.

## i
This record from Alexandria via LeMat-Bulk describes a relaxed PWAu crystal. The functional is PBE.

Lattice parameters (Å, degrees): 7.5147 7.3346 2.8046 82.75 75.52 21.73
Element x y z (fractional)
P1 0.6932 0.6932 0.3068
W1 0.3197 0.3197 0.6803
Au1 0.9870 0.9870 0.0130

Fermi-level density of states: 0.47 states/eV/atom
Crystal system: orthorhombic
Density: 12.92 g/cm³
V: 52.93 Å³/cell

## ii
This record from Alexandria via LeMat-Bulk describes a relaxed PWAu crystal. The functional is PBE.

Lattice parameters (Å, degrees): 3.0095 3.0095 6.3685 90.00 90.00 120.00
Element x y z (fractional)
P1 0.6667 0.3333 0.3708
Au1 0.0000 0.0000 0.9963
W1 0.3333 0.6667 0.6329

Fermi-level density of states: 0.35 states/eV/atom
Crystal system: trigonal
Density: 13.69 g/cm³
V: 49.95 Å³/cell

The most stable arrangement is ii, and the next structure is 18.0 kJ/mol of atoms less stable.

## i
This record from Alexandria via LeMat-Bulk describes a relaxed PWAu crystal. The functional is PBE.

Lattice parameters (Å, degrees): 4.1307 4.1307 4.1307 60.00 60.00 60.00
Element x y z (fractional)
W1 0.0000 0.0000 0.0000
P1 0.2500 0.2500 0.2500
Au1 0.5000 0.5000 0.5000

Fermi-level density of states: 0.70 states/eV/atom
Crystal system: cubic
Density: 13.72 g/cm³
V: 49.84 Å³/cell

## ii
This record from Alexandria via LeMat-Bulk describes a relaxed PWAu crystal. The functional is PBE.

Lattice parameters (Å, degrees): 4.2891 4.2891 4.2891 60.00 60.00 60.00
Last column: magnetic moment on the atom in μB.
Element x y z (fractional)
W1 0.2500 0.2500 0.2500  0.78
P1 0.5000 0.5000 0.5000  -0.01
Au1 0.0000 0.0000 0.0000  0.06

Fermi-level density of states: 0.70 states/eV/atom
Crystal system: cubic
Density: 12.26 g/cm³
V: 55.79 Å³/cell

## iii
This record from Alexandria via LeMat-Bulk describes a relaxed PWAu crystal. The functional is PBE.

Lattice parameters (Å, degrees): 5.4444 5.4444 5.4444 146.95 146.95 47.43
Element x y z (fractional)
P1 0.3089 0.3089 0.0000
W1 0.6938 0.6938 0.0000
Au1 0.9973 0.9973 0.0000

Fermi-level density of states: 0.49 states/eV/atom
Crystal system: tetragonal
Density: 14.30 g/cm³
V: 47.81 Å³/cell

## iv
This record from Alexandria via LeMat-Bulk describes a relaxed PWAu crystal. The functional is PBE.

Lattice parameters (Å, degrees): 4.0770 4.0770 3.4963 90.00 90.00 120.00
Element x y z (fractional)
P1 0.6667 0.3333 0.0000
Au1 0.0000 0.0000 0.5000
W1 0.3333 0.6667 0.0000

Fermi-level density of states: 0.79 states/eV/atom
Crystal system: hexagonal
Density: 13.59 g/cm³
V: 50.33 Å³/cell

The most stable arrangement is iii, and the next structure is 10.0 kJ/mol of atoms less stable.

## i
This record from Alexandria via LeMat-Bulk describes a relaxed PW2Au crystal. The functional is PBE.

Lattice parameters (Å, degrees): 2.7824 2.7824 9.2260 90.00 90.00 108.01
Element x y z (fractional)
W1 0.0000 0.0000 0.0054
P1 0.5000 0.5000 0.2101
W2 0.5000 0.5000 0.7690
Au1 0.0000 0.0000 0.5155

Fermi-level density of states: 0.70 states/eV/atom
Crystal system: orthorhombic
Density: 14.56 g/cm³
V: 67.92 Å³/cell

## ii
This record from Alexandria via LeMat-Bulk describes a relaxed PW2Au crystal. The functional is PBE.

Lattice parameters (Å, degrees): 4.5124 4.5124 4.5124 60.00 60.00 60.00
Element x y z (fractional)
W1 0.0000 0.0000 0.0000
W2 0.7500 0.7500 0.7500
Au1 0.5000 0.5000 0.5000
P1 0.2500 0.2500 0.2500

Fermi-level density of states: 1.08 states/eV/atom
Crystal system: cubic
Density: 15.22 g/cm³
V: 64.97 Å³/cell

## iii
This record from Alexandria via LeMat-Bulk describes a relaxed PW2Au crystal. The functional is PBE.

Lattice parameters (Å, degrees): 4.4320 4.4320 4.4320 60.00 60.00 60.00
Element x y z (fractional)
W1 0.2500 0.2500 0.2500
Au1 0.5000 0.5000 0.5000
W2 0.7500 0.7500 0.7500
P1 0.0000 0.0000 0.0000

Fermi-level density of states: 0.76 states/eV/atom
Crystal system: cubic
Density: 16.07 g/cm³
V: 61.56 Å³/cell

## iv
This record from Alexandria via LeMat-Bulk describes a relaxed PW2Au crystal. The functional is PBE.

Lattice parameters (Å, degrees): 5.0639 5.0639 2.8367 81.32 81.32 114.50
Element x y z (fractional)
Au1 0.0000 0.0000 0.5000
P1 0.5000 0.5000 0.5000
W1 0.5000 0.0000 0.0000
W2 0.0000 0.5000 0.0000

Fermi-level density of states: 0.69 states/eV/atom
Crystal system: monoclinic
Density: 15.56 g/cm³
V: 63.56 Å³/cell

The most stable arrangement is i, and the next structure is 11.9 kJ/mol of atoms less stable.